Co2NiBr: single point on PBEsol structure, meta-GGA SCAN. Values from VASP.

Calculated values
E_form (uncorrected)   222.7 kJ/mol of formula units
Energy relative to the lowest polymorph listed for this composition   0.00 eV/f.u.

```
&SYSTEM
  ibrav = 0, nat = 4, ntyp = 3
/
ATOMIC_SPECIES
Co 58.93 Co.upf
Ni 58.69 Ni.upf
Br 79.90 Br.upf
ATOMIC_POSITIONS angstrom
Co 4.7600 -1.9963 5.1927
Co 4.9099 1.3027 2.8855
Ni 3.3821 -1.2073 3.5343
Br 1.5936 -0.6613 1.7333
CELL_PARAMETERS angstrom
-0.3456 -1.2390 3.1070
1.4482 -2.9234 0.8150
5.1968 1.4726 2.9851
```